The following is a DFT calculation (GGA+U) of Li2CoSnO4 after structural relaxation.

Distance to the lowest polymorph of the same formula in meV/atom: 3.4
N(E_F) in states/eV per cell: 0.0
Space-group type: C2/c, No. 15
Electronic total energy in eV per atom: -5.74

abc: 6.1638 6.1639 6.0905
angles: 119.67 119.67 90.27
Last column: magnetic moment on the atom in μB.
Element x y z (fractional)
Co: 0.0000 0.0000 0.0000  2.68
O: 0.2507 0.2239 0.4876  0.08
O: 0.7471 0.2520 0.5099  0.03
Sn: 0.0000 0.5000 0.0000  -0.01
Li: 0.0000 0.5000 0.5000  0.00
O: 0.2239 0.2507 0.9876  0.08
Li: 0.5000 0.5000 0.5000  0.01
O: 0.7761 0.7493 0.0123  0.08
Sn: 0.5000 0.0000 0.5000  -0.01
O: 0.7480 0.2529 0.9901  0.03
O: 0.2520 0.7471 0.0099  0.03
Co: 0.0000 0.0000 0.5000  2.68
Li: 0.5000 0.0000 0.0000  0.00
Li: 0.5000 0.5000 0.0000  0.01
O: 0.7493 0.7761 0.5124  0.08
O: 0.2529 0.7480 0.4901  0.03